# TbSmTh2Pt4 PBE optimized geometry
data_TbSmTh2Pt4
_chemical_formula_sum 'Tb4 Sm4 Th8 Pt16'
_cell_length_a 8.316
_cell_length_b 11.787
_cell_length_c 8.317
_cell_angle_alpha 90.00
_cell_angle_beta 90.00
_cell_angle_gamma 90.00
_space_group_name_H-M_alt 'F m m 2'
_space_group_IT_number 42
_space_group_name_Hall 'F 2 -2'
loop_
_atom_site_label
_atom_site_fract_x
_atom_site_fract_y
_atom_site_fract_z
Tb1 0.000 0.000 0.000
Sm1 0.000 0.000 0.501
Th1 0.250 0.250 0.252
Pt1 0.000 0.248 0.002
Pt2 0.250 0.000 0.251
# Volume, Å³/cell: 815
# E_tot, eV/atom: -7.26
# Total moment, μB/f.u.: 0.00